TaCd2Ni: optimized geometry, PBE.

Computed properties:
- SG = P4/mmm, No. 123
- energy relative to the lowest polymorph listed for this composition (meV/atom) = 197
- formation enthalpy at 0 K (meV per atom) = 228
- DOS(E_F) (states/eV per atom) = 0.808
- V (Å³ per atom) = 17.24

```
data_TaCd2Ni
_chemical_formula_sum 'Ta1 Cd2 Ni1'
_space_group_name_H-M_alt 'P 1'
_space_group_IT_number 1
_cell_length_a 2.918
_cell_length_b 2.918
_cell_length_c 8.099
_cell_angle_alpha 90.00
_cell_angle_beta 90.00
_cell_angle_gamma 90.00
loop_
_space_group_symop_operation_xyz
'x,y,z'
loop_
_atom_site_label
_atom_site_fract_x
_atom_site_fract_y
_atom_site_fract_z
_atom_site_occupancy
Ta1 0.000 0.000 0.000 1
Cd1 0.500 0.500 0.279 1
Cd2 0.500 0.500 0.721 1
Ni1 0.000 0.000 0.500 1
```